Entry 1:
! PBE-GGA KPaSeO5, optimized geometry; values from VASP
! Magnetic moment = 0.00 μB per atom
! Density of states at the Fermi level = 0.00 states/eV/cell
! Formation energy from raw total energies = -2.148 eV/atom
&SYSTEM
  ibrav = 0, nat = 16, ntyp = 4
/
ATOMIC_SPECIES
O 16.00 O.upf
Pa 231.04 Pa.upf
K 39.10 K.upf
Se 78.96 Se.upf
CELL_PARAMETERS angstrom
6.228 0.388 -0.240
-1.447 6.070 -0.240
-2.269 -3.065 7.778
ATOMIC_POSITIONS crystal
O 0.976 0.024 0.750
O 0.233 0.408 0.628
O 0.881 0.293 0.066
O 0.119 0.707 0.934
O 0.024 0.976 0.250
O 0.293 0.881 0.566
O 0.592 0.767 0.872
O 0.767 0.592 0.372
O 0.408 0.233 0.128
O 0.707 0.119 0.434
Pa 0.000 0.000 0.000
Pa 0.000 0.000 0.500
K 0.677 0.323 0.750
K 0.323 0.677 0.250
Se 0.705 0.295 0.250
Se 0.295 0.705 0.750

=====

Entry 2:
! PBE-GGA NaTlF3, optimized geometry; values from VASP
! Magnetic moment = 0.00 μB per atom
! Density of states at the Fermi level = 4.29 states/eV/cell
! Formation energy from raw total energies = -1.829 eV/atom
! Relative energy among the computed polymorphs = 323 meV per atom
&SYSTEM
  ibrav = 0, nat = 5, ntyp = 3
/
ATOMIC_SPECIES
Tl 204.38 Tl.upf
F 19.00 F.upf
Na 22.99 Na.upf
CELL_PARAMETERS angstrom
4.211 0.000 0.000
0.000 4.211 0.000
0.000 0.000 4.211
ATOMIC_POSITIONS crystal
Tl 0.500 0.500 0.500
F 0.000 0.500 0.000
F 0.000 0.000 0.500
F 0.500 0.000 0.000
Na 0.000 0.000 0.000

=====

Entry 3:
! PBE-GGA Li2Np3InTe6, optimized geometry; values from VASP
! Magnetic moment = 1.00 μB per atom
! Density of states at the Fermi level = 31.00 states/eV/cell
! Formation energy from raw total energies = -0.659 eV/atom
&SYSTEM
  ibrav = 0, nat = 12, ntyp = 4
/
ATOMIC_SPECIES
Te 127.60 Te.upf
Np 237.00 Np.upf
Li 6.94 Li.upf
In 114.82 In.upf
CELL_PARAMETERS angstrom
4.399 0.000 0.000
0.000 8.994 0.091
-2.200 -2.833 9.597
ATOMIC_POSITIONS crystal
Te 0.670 0.076 0.340
Te 0.664 0.570 0.329
Te 0.330 0.924 0.660
Te 0.336 0.430 0.671
Te 0.992 0.259 0.984
Te 0.008 0.741 0.016
Np 0.169 0.824 0.339
Np 0.500 0.500 0.000
Np 0.831 0.176 0.661
Li 0.181 0.336 0.363
Li 0.819 0.664 0.637
In 0.500 0.000 0.000

=====

Entry 4:
! PBE-GGA AgHg2As, optimized geometry; values from VASP
! Magnetic moment = 0.00 μB per atom
! DFT formation energy = 0.253 eV per atom
! Density of states at the Fermi level = 2.05 states/eV/cell
&SYSTEM
  ibrav = 0, nat = 4, ntyp = 3
/
ATOMIC_SPECIES
Ag 107.87 Ag.upf
As 74.92 As.upf
Hg 200.59 Hg.upf
CELL_PARAMETERS angstrom
-2.769 3.722 -2.669
-4.471 -2.242 -1.902
2.117 0.027 4.915
ATOMIC_POSITIONS crystal
Ag 0.250 0.750 0.500
As 0.750 0.250 0.500
Hg 0.500 0.500 0.000
Hg 0.000 0.000 0.000

=====

Entry 5:
! PBE-GGA Ca3PPb, optimized geometry; values from VASP
! Magnetic moment = 0.00 μB per atom
! DFT formation energy = -0.742 eV per atom
! Density of states at the Fermi level = 6.62 states/eV/cell
! Relative energy among the computed polymorphs = 0 meV per atom
&SYSTEM
  ibrav = 0, nat = 5, ntyp = 3
/
ATOMIC_SPECIES
P 30.97 P.upf
Ca 40.08 Ca.upf
Pb 207.20 Pb.upf
CELL_PARAMETERS angstrom
-2.102 -1.198 -4.884
5.020 -0.822 -1.959
-0.306 -5.254 1.421
ATOMIC_POSITIONS crystal
P 0.000 0.000 0.000
Ca 0.000 0.500 0.000
Ca 0.500 0.000 0.000
Ca 0.000 0.000 0.500
Pb 0.500 0.500 0.500

=====

Entry 6:
! PBE-GGA LaPm2NdTl2, optimized geometry; values from VASP
! Magnetic moment = 0.00 μB per atom
! DFT formation energy = -0.278 eV per atom
! Density of states at the Fermi level = 15.37 states/eV/cell
&SYSTEM
  ibrav = 0, nat = 12, ntyp = 4
/
ATOMIC_SPECIES
Tl 204.38 Tl.upf
La 138.91 La.upf
Nd 144.24 Nd.upf
Pm 145.00 Pm.upf
CELL_PARAMETERS angstrom
5.269 0.000 0.000
0.000 6.924 0.000
0.000 0.000 10.424
ATOMIC_POSITIONS crystal
Tl 0.500 0.217 0.362
Tl 0.500 0.717 0.638
Tl 0.000 0.801 0.130
Tl 0.000 0.301 0.870
La 0.000 0.948 0.454
La 0.000 0.448 0.546
Nd 0.500 0.688 0.311
Nd 0.500 0.188 0.689
Pm 0.500 0.560 0.956
Pm 0.000 0.832 0.816
Pm 0.000 0.332 0.184
Pm 0.500 0.060 0.044

=====

Entry 7:
! PBE-GGA Rb2ZnF, optimized geometry; values from VASP
! Magnetic moment = 0.23 μB per atom
! Density of states at the Fermi level = 1.41 states/eV/cell
! Formation energy from raw total energies = -0.802 eV/atom
! Relative energy among the computed polymorphs = 303 meV per atom
&SYSTEM
  ibrav = 0, nat = 4, ntyp = 3
/
ATOMIC_SPECIES
Zn 65.41 Zn.upf
Rb 85.47 Rb.upf
F 19.00 F.upf
CELL_PARAMETERS angstrom
4.829 0.433 3.158
0.009 -1.725 5.523
2.890 -4.772 1.536
ATOMIC_POSITIONS crystal
Zn 0.500 0.500 0.500
Rb 0.750 0.750 0.750
Rb 0.250 0.250 0.250
F 0.000 0.000 0.000

=====

Entry 8:
! PBE-GGA CsNa3Pa2Se6, optimized geometry; values from VASP
! Magnetic moment = 0.17 μB per atom
! Density of states at the Fermi level = 11.17 states/eV/cell
! Formation energy from raw total energies = -1.270 eV/atom
&SYSTEM
  ibrav = 0, nat = 12, ntyp = 4
/
ATOMIC_SPECIES
Cs 132.91 Cs.upf
Se 78.96 Se.upf
Pa 231.04 Pa.upf
Na 22.99 Na.upf
CELL_PARAMETERS angstrom
4.255 0.000 0.000
0.000 10.404 0.816
-2.127 -2.433 8.709
ATOMIC_POSITIONS crystal
Cs 0.500 0.000 0.000
Se 0.311 0.820 0.622
Se 0.689 0.180 0.378
Se 0.987 0.709 0.974
Se 0.331 0.454 0.661
Se 0.669 0.546 0.339
Se 0.013 0.291 0.026
Pa 0.833 0.650 0.666
Pa 0.167 0.350 0.334
Na 0.851 0.263 0.702
Na 0.500 0.500 0.000
Na 0.149 0.737 0.298

=====

Q: Look up the density of states at the Fermi level of the seventh one.
A: 1.41 states/eV/cell

=====

What did the seventh record say?
! PBE-GGA Rb2ZnF, optimized geometry; values from VASP
! Magnetic moment = 0.23 μB per atom
! Density of states at the Fermi level = 1.41 states/eV/cell
! Formation energy from raw total energies = -0.802 eV/atom
! Relative energy among the computed polymorphs = 303 meV per atom
&SYSTEM
  ibrav = 0, nat = 4, ntyp = 3
/
ATOMIC_SPECIES
Zn 65.41 Zn.upf
Rb 85.47 Rb.upf
F 19.00 F.upf
CELL_PARAMETERS angstrom
4.829 0.433 3.158
0.009 -1.725 5.523
2.890 -4.772 1.536
ATOMIC_POSITIONS crystal
Zn 0.500 0.500 0.500
Rb 0.750 0.750 0.750
Rb 0.250 0.250 0.250
F 0.000 0.000 0.000

=====

Q: magnetic moment of number 5 (Ca3PPb)?
A: 0.00 μB per atom